The following is a PBE calculation of SiOsCl2 after structural relaxation, from Alexandria.

**Formation energy without anion corrections**: 117.4 kJ per mole of atoms
**DOS(E_F)**: 3.26 states/eV per cell
**Crystal system**: orthorhombic
**Polymorph energy (0 for the lowest one)**: 1415 meV/atom

a = 4.8946 Å, b = 4.8946 Å, c = 2.8931 Å
α = 90.00°, β = 90.00°, γ = 105.12°
Last column: nearest neighbours and their distance in Å.
Atoms (fractional coordinates):
1 Cl 0.5000 0.5000 0.0000  4 Os 2.84, 4 Si 2.84, 4 Cl 2.89-2.98
2 Cl 0.0000 0.0000 0.0000  4 Si 2.84, 4 Os 2.84, 4 Cl 2.89-2.98
3 Si 0.0000 0.5000 0.5000  8 Cl 2.84, 2 Si 2.89, 2 Os 2.98
4 Os 0.5000 0.0000 0.5000  8 Cl 2.84, 2 Os 2.89, 2 Si 2.98